No. 1
Here is a relaxed TePS2 crystal from Alexandria. Energies are from PBE.

```
TePS2
1.0
-1.310 -2.366 3.851
-4.333 0.564 1.747
-3.144 -3.485 -0.336
P S Te
1 2 1
Direct
0.000 0.000 0.000 P
0.250 0.250 0.250 S
0.750 0.750 0.750 S
0.500 0.500 0.500 Te
```

As for the total DFT energy (no corrections): -3.460 eV per atom. The calculation puts the uncorrected formation energy at 742 meV per atom. As for the energy above the most stable polymorph in this dataset: 2.06 eV/f.u. As for the magnetic moment: 0.00 μB per formula unit.

No. 2
Here is a relaxed Th6TeP2S3 crystal from Alexandria. Energies are from PBE.

```
Th6TeP2S3
1.0
-3.333 -2.131 1.239
3.769 -7.116 -2.102
4.212 2.070 7.952
Th P S Te
6 2 3 1
Direct
0.323 0.908 0.646 Th
0.997 0.722 0.993 Th
0.677 0.092 0.354 Th
0.333 0.420 0.666 Th
0.003 0.278 0.007 Th
0.667 0.580 0.334 Th
0.831 0.666 0.663 P
0.169 0.334 0.337 P
0.161 0.832 0.323 S
0.839 0.168 0.677 S
0.500 0.500 0.000 S
0.500 0.000 0.000 Te
```

As for the total DFT energy (no corrections): -7.504 eV per atom. The calculation puts the uncorrected formation energy at -1599 meV per atom. As for the magnetic moment: 0.00 μB per formula unit.

No. 3
Here is a relaxed Th6Te3P2S crystal from Alexandria. Energies are from PBE.

```
Th6Te3P2S
1.0
-4.081 5.968 -0.121
0.014 -4.472 -5.682
-4.270 -4.280 4.891
Te Th S P
3 6 1 2
Direct
0.500 0.500 0.500 Te
0.168 0.832 0.500 Te
0.832 0.168 0.500 Te
0.069 0.402 0.208 Th
0.402 0.069 0.208 Th
0.598 0.931 0.792 Th
0.263 0.263 0.791 Th
0.737 0.737 0.209 Th
0.931 0.598 0.792 Th
0.000 0.000 0.000 S
0.334 0.666 0.000 P
0.666 0.334 0.000 P
```

As for the total DFT energy (no corrections): -7.130 eV per atom. The calculation puts the uncorrected formation energy at -1389 meV per atom. As for the magnetic moment: 0.00 μB per formula unit.

No. 4
Here is a relaxed Th8Te4P3S crystal from Alexandria. Energies are from PBE.

```
Th8Te4P3S
1.0
-3.545 -3.458 -6.730
-5.443 -4.603 5.233
0.174 8.313 0.823
Te P Th S
4 3 8 1
Direct
0.500 0.000 0.500 Te
0.000 0.000 0.000 Te
0.000 0.000 0.500 Te
0.500 0.000 0.000 Te
0.500 0.500 0.500 P
0.000 0.500 0.500 P
0.500 0.500 0.000 P
0.236 0.708 0.472 Th
0.236 0.708 0.972 Th
0.736 0.708 0.972 Th
0.764 0.292 0.028 Th
0.264 0.292 0.528 Th
0.736 0.708 0.472 Th
0.764 0.292 0.528 Th
0.264 0.292 0.028 Th
0.000 0.500 0.000 S
```

As for the total DFT energy (no corrections): -7.153 eV per atom. The calculation puts the uncorrected formation energy at -1386 meV per atom. As for the magnetic moment: 0.00 μB per formula unit.

No. 5
Here is a relaxed TiTeP2S crystal from Alexandria. Energies are from PBE.

```
TiTeP2S
1.0
-0.749 0.809 -4.789
0.893 -4.741 -0.940
-4.337 -0.920 0.523
S P Te Ti
1 2 1 1
Direct
0.000 0.000 0.500 S
0.000 0.500 0.000 P
0.500 0.000 0.000 P
0.500 0.500 0.500 Te
0.000 0.000 0.000 Ti
```

As for the total DFT energy (no corrections): -5.045 eV per atom. The calculation puts the uncorrected formation energy at 151 meV per atom. As for the energy above the most stable polymorph in this dataset: 0.00 eV/f.u. As for the magnetic moment: 0.00 μB per formula unit.

No. 6
Here is a relaxed TiTePS2 crystal from Alexandria. Energies are from PBE.

```
TiTePS2
1.0
4.581 0.000 0.000
0.000 4.581 0.000
0.000 0.000 5.152
S P Ti Te
2 1 1 1
Direct
0.000 0.500 0.000 S
0.500 0.000 0.000 S
0.000 0.000 0.500 P
0.000 0.000 0.000 Ti
0.500 0.500 0.500 Te
```

As for the total DFT energy (no corrections): -4.992 eV per atom. The calculation puts the uncorrected formation energy at -52 meV per atom. As for the energy above the most stable polymorph in this dataset: 0.00 eV/f.u. As for the magnetic moment: 0.00 μB per formula unit.

No. 7
Here is a relaxed TiTeP2S crystal from Alexandria. Energies are from PBE.

```
TiTeP2S
1.0
-1.120 -3.717 -3.085
2.956 -3.032 2.580
-3.835 -1.262 2.912
P S Te Ti
2 1 1 1
Direct
0.000 0.500 0.000 P
0.500 0.000 0.000 P
0.000 0.000 0.500 S
0.000 0.000 0.000 Te
0.500 0.500 0.500 Ti
```

As for the total DFT energy (no corrections): -4.144 eV per atom. The calculation puts the uncorrected formation energy at 1053 meV per atom. As for the energy above the most stable polymorph in this dataset: 4.51 eV/f.u. As for the magnetic moment: 1.16 μB per formula unit.

No. 8
Here is a relaxed TiTePS2 crystal from Alexandria. Energies are from PBE.

```
TiTePS2
1.0
5.009 0.000 0.000
0.000 5.009 0.000
0.000 0.000 4.956
Te P Ti S
1 1 1 2
Direct
0.000 0.000 0.000 Te
0.000 0.000 0.500 P
0.500 0.500 0.500 Ti
0.500 0.000 0.000 S
0.000 0.500 0.000 S
```

As for the total DFT energy (no corrections): -4.118 eV per atom. The calculation puts the uncorrected formation energy at 822 meV per atom. As for the energy above the most stable polymorph in this dataset: 4.37 eV/f.u. As for the magnetic moment: 1.43 μB per formula unit.